<one>
## HfHgTe2N (GGA-PBE)

Data for an optimized crystal structure of HfHgTe2N.

CIF file:
```
data_HfHgTe2N
_chemical_formula_sum 'Hf1 Hg1 Te2 N1'
_cell_length_a 5.6044
_cell_length_b 5.6044
_cell_length_c 4.0102
_cell_angle_alpha 90.00
_cell_angle_beta 90.00
_cell_angle_gamma 90.00
_space_group_name_H-M_alt 'P 1'
_space_group_IT_number 1
_space_group_name_Hall 'P 1'
loop_
_atom_site_label
_atom_site_fract_x
_atom_site_fract_y
_atom_site_fract_z
Hf1 0.0000 0.0000 0.0000
Hg1 0.5000 0.5000 0.5000
Te1 0.0000 0.5000 0.5000
Te2 0.5000 0.0000 0.5000
N1 0.5000 0.5000 0.0000
```

Output
Spin magnetization (Bohr magnetons per cell): 0.002
Calculated volume (Å³ per cell): 126.0

=====

<two>
## HfHgTe2N (GGA-PBE)

Data for an optimized crystal structure of HfHgTe2N.

CIF file:
```
data_HfHgTe2N
_chemical_formula_sum 'Hf1 Hg1 Te2 N1'
_cell_length_a 5.7875
_cell_length_b 5.7875
_cell_length_c 3.9998
_cell_angle_alpha 90.00
_cell_angle_beta 90.00
_cell_angle_gamma 90.00
_space_group_name_H-M_alt 'P 1'
_space_group_IT_number 1
_space_group_name_Hall 'P 1'
loop_
_atom_site_label
_atom_site_fract_x
_atom_site_fract_y
_atom_site_fract_z
Hf1 0.0000 0.0000 0.0000
Hg1 0.5000 0.5000 0.5000
Te1 0.0000 0.5000 0.0000
Te2 0.5000 0.0000 0.0000
N1 0.0000 0.0000 0.5000
```

Output
Spin magnetization (Bohr magnetons per cell): 0.000
Calculated volume (Å³ per cell): 134.0

=====

On energetic grounds, <two> is preferred over the next structure by 1207 meV/atom.

=====

<one>
## NaHfHg2 (GGA-PBE)

Data for an optimized crystal structure of NaHfHg2.

CIF file:
```
data_NaHfHg2
_chemical_formula_sum 'Na4 Hf4 Hg8'
_cell_length_a 7.0349
_cell_length_b 7.0349
_cell_length_c 7.0349
_cell_angle_alpha 90.00
_cell_angle_beta 90.00
_cell_angle_gamma 90.00
_space_group_name_H-M_alt 'P 1'
_space_group_IT_number 1
_space_group_name_Hall 'P 1'
loop_
_atom_site_label
_atom_site_fract_x
_atom_site_fract_y
_atom_site_fract_z
Na1 0.0000 0.0000 0.0000
Na2 0.0000 0.5000 0.5000
Na3 0.5000 0.0000 0.5000
Na4 0.5000 0.5000 0.0000
Hf1 0.0000 0.0000 0.5000
Hf2 0.0000 0.5000 0.0000
Hf3 0.5000 0.0000 0.0000
Hf4 0.5000 0.5000 0.5000
Hg1 0.2500 0.2500 0.2500
Hg2 0.2500 0.2500 0.7500
Hg3 0.2500 0.7500 0.2500
Hg4 0.2500 0.7500 0.7500
Hg5 0.7500 0.2500 0.2500
Hg6 0.7500 0.2500 0.7500
Hg7 0.7500 0.7500 0.2500
Hg8 0.7500 0.7500 0.7500
```

Output
Spin magnetization (Bohr magnetons per cell): 0.000
Calculated volume (Å³ per cell): 348.2

=====

<two>
## NaHfHg2 (GGA-PBE)

Data for an optimized crystal structure of NaHfHg2.

CIF file:
```
data_NaHfHg2
_chemical_formula_sum 'Na4 Hf4 Hg8'
_cell_length_a 7.7296
_cell_length_b 7.7296
_cell_length_c 6.7741
_cell_angle_alpha 90.00
_cell_angle_beta 90.00
_cell_angle_gamma 90.00
_space_group_name_H-M_alt 'P 1'
_space_group_IT_number 1
_space_group_name_Hall 'P 1'
loop_
_atom_site_label
_atom_site_fract_x
_atom_site_fract_y
_atom_site_fract_z
Na1 0.0000 0.0000 0.0000
Na2 0.0000 0.5000 0.2500
Na3 0.5000 0.0000 0.7500
Na4 0.5000 0.5000 0.5000
Hf1 0.0000 0.0000 0.5000
Hf2 0.0000 0.5000 0.7500
Hf3 0.5000 0.0000 0.2500
Hf4 0.5000 0.5000 0.0000
Hg1 0.2419 0.2500 0.6250
Hg2 0.2500 0.7419 0.8750
Hg3 0.2500 0.7581 0.3750
Hg4 0.2581 0.2500 0.1250
Hg5 0.7419 0.7500 0.1250
Hg6 0.7500 0.2419 0.3750
Hg7 0.7500 0.2581 0.8750
Hg8 0.7581 0.7500 0.6250
```

Output
Spin magnetization (Bohr magnetons per cell): 0.000
Calculated volume (Å³ per cell): 404.7

=====

<three>
## NaHfHg2 (GGA-PBE)

Data for an optimized crystal structure of NaHfHg2.

CIF file:
```
data_NaHfHg2
_chemical_formula_sum 'Na1 Hf1 Hg2'
_cell_length_a 5.2455
_cell_length_b 5.2455
_cell_length_c 3.1980
_cell_angle_alpha 90.00
_cell_angle_beta 90.00
_cell_angle_gamma 90.00
_space_group_name_H-M_alt 'P 1'
_space_group_IT_number 1
_space_group_name_Hall 'P 1'
loop_
_atom_site_label
_atom_site_fract_x
_atom_site_fract_y
_atom_site_fract_z
Na1 0.0000 0.0000 0.0000
Hf1 0.5000 0.5000 0.0000
Hg1 0.0000 0.5000 0.5000
Hg2 0.5000 0.0000 0.5000
```

Output
Spin magnetization (Bohr magnetons per cell): 0.002
Calculated volume (Å³ per cell): 88.0

=====

<four>
## NaHfHg2 (GGA-PBE)

Data for an optimized crystal structure of NaHfHg2.

CIF file:
```
data_NaHfHg2
_chemical_formula_sum 'Na1 Hf1 Hg2'
_cell_length_a 3.2490
_cell_length_b 3.2490
_cell_length_c 8.6148
_cell_angle_alpha 90.00
_cell_angle_beta 90.00
_cell_angle_gamma 90.00
_space_group_name_H-M_alt 'P 1'
_space_group_IT_number 1
_space_group_name_Hall 'P 1'
loop_
_atom_site_label
_atom_site_fract_x
_atom_site_fract_y
_atom_site_fract_z
Na1 0.0000 0.0000 0.0000
Hf1 0.0000 0.0000 0.5000
Hg1 0.5000 0.5000 0.2674
Hg2 0.5000 0.5000 0.7326
```

Output
Spin magnetization (Bohr magnetons per cell): 0.000
Calculated volume (Å³ per cell): 90.9

=====

On energetic grounds, <three> is preferred over the next structure by 36 meV/atom.

=====

<one>
## NaHf2Hg2 (GGA-PBE)

Data for an optimized crystal structure of NaHf2Hg2.

CIF file:
```
data_NaHf2Hg2
_chemical_formula_sum 'Na2 Hf4 Hg4'
_cell_length_a 8.7007
_cell_length_b 8.7007
_cell_length_c 3.1152
_cell_angle_alpha 90.00
_cell_angle_beta 90.00
_cell_angle_gamma 90.00
_space_group_name_H-M_alt 'P 1'
_space_group_IT_number 1
_space_group_name_Hall 'P 1'
loop_
_atom_site_label
_atom_site_fract_x
_atom_site_fract_y
_atom_site_fract_z
Na1 0.0000 0.0000 0.0000
Na2 0.5000 0.5000 0.0000
Hf1 0.1227 0.3773 0.5000
Hf2 0.3773 0.8773 0.5000
Hf3 0.6227 0.1227 0.5000
Hf4 0.8773 0.6227 0.5000
Hg1 0.1746 0.6746 0.0000
Hg2 0.3254 0.1746 0.0000
Hg3 0.6746 0.8254 0.0000
Hg4 0.8254 0.3254 0.0000
```

Output
Spin magnetization (Bohr magnetons per cell): 0.000
Calculated volume (Å³ per cell): 235.8

=====

<two>
## NaHf2Hg2 (GGA-PBE)

Data for an optimized crystal structure of NaHf2Hg2.

CIF file:
```
data_NaHf2Hg2
_chemical_formula_sum 'Na2 Hf4 Hg4'
_cell_length_a 8.8421
_cell_length_b 8.8421
_cell_length_c 3.0065
_cell_angle_alpha 90.00
_cell_angle_beta 90.00
_cell_angle_gamma 90.00
_space_group_name_H-M_alt 'P 1'
_space_group_IT_number 1
_space_group_name_Hall 'P 1'
loop_
_atom_site_label
_atom_site_fract_x
_atom_site_fract_y
_atom_site_fract_z
Na1 0.0000 0.0000 0.0000
Na2 0.5000 0.5000 0.0000
Hf1 0.1211 0.3789 0.0000
Hf2 0.3789 0.8789 0.0000
Hf3 0.6211 0.1211 0.0000
Hf4 0.8789 0.6211 0.0000
Hg1 0.1751 0.6751 0.5000
Hg2 0.3249 0.1751 0.5000
Hg3 0.6751 0.8249 0.5000
Hg4 0.8249 0.3249 0.5000
```

Output
Spin magnetization (Bohr magnetons per cell): 0.000
Calculated volume (Å³ per cell): 235.1

=====

On energetic grounds, <one> is preferred over the next structure by 15 meV/atom.

=====

<one>
## Hf2NbHg2 (GGA-PBE)

Data for an optimized crystal structure of Hf2NbHg2.

CIF file:
```
data_Hf2NbHg2
_chemical_formula_sum 'Hf4 Nb2 Hg4'
_cell_length_a 7.8881
_cell_length_b 7.8881
_cell_length_c 3.4101
_cell_angle_alpha 90.00
_cell_angle_beta 90.00
_cell_angle_gamma 90.00
_space_group_name_H-M_alt 'P 1'
_space_group_IT_number 1
_space_group_name_Hall 'P 1'
loop_
_atom_site_label
_atom_site_fract_x
_atom_site_fract_y
_atom_site_fract_z
Hf1 0.1775 0.3225 0.0000
Hf2 0.3225 0.8225 0.0000
Hf3 0.6775 0.1775 0.0000
Hf4 0.8225 0.6775 0.0000
Nb1 0.0000 0.0000 0.5000
Nb2 0.5000 0.5000 0.5000
Hg1 0.1270 0.6270 0.5000
Hg2 0.3730 0.1270 0.5000
Hg3 0.6270 0.8730 0.5000
Hg4 0.8730 0.3730 0.5000
```

Output
Spin magnetization (Bohr magnetons per cell): 0.000
Calculated volume (Å³ per cell): 212.2

=====

<two>
## Hf2NbHg2 (GGA-PBE)

Data for an optimized crystal structure of Hf2NbHg2.

CIF file:
```
data_Hf2NbHg2
_chemical_formula_sum 'Hf4 Nb2 Hg4'
_cell_length_a 3.4876
_cell_length_b 18.5890
_cell_length_c 3.3937
_cell_angle_alpha 90.00
_cell_angle_beta 90.00
_cell_angle_gamma 90.00
_space_group_name_H-M_alt 'P 1'
_space_group_IT_number 1
_space_group_name_Hall 'P 1'
loop_
_atom_site_label
_atom_site_fract_x
_atom_site_fract_y
_atom_site_fract_z
Hf1 0.0000 0.0862 0.0000
Hf2 0.0000 0.9138 0.0000
Hf3 0.5000 0.4138 0.0000
Hf4 0.5000 0.5862 0.0000
Nb1 0.0000 0.5000 0.5000
Nb2 0.5000 0.0000 0.5000
Hg1 0.0000 0.3125 0.5000
Hg2 0.0000 0.6875 0.5000
Hg3 0.5000 0.1875 0.5000
Hg4 0.5000 0.8125 0.5000
```

Output
Spin magnetization (Bohr magnetons per cell): 0.000
Calculated volume (Å³ per cell): 220.0

=====

On energetic grounds, <two> is preferred over the next structure by 227 meV/atom.